# 1
A relaxed structure of Sr2Mg12Zn3Ag. Source: the Alexandria database, functional PBE.

Cell and atoms, written as CIF:
```
data_Sr2Mg12Zn3Ag
_symmetry_space_group_name_H-M 'P 1'
_symmetry_Int_Tables_number 1
_symmetry_space_group_name_Hall 'P 1'
_cell_length_a 11.077
_cell_length_b 11.077
_cell_length_c 11.077
_cell_angle_alpha 39.03
_cell_angle_beta 39.03
_cell_angle_gamma 39.03
loop_
_atom_site_label
_atom_site_type_symbol
_atom_site_fract_x
_atom_site_fract_y
_atom_site_fract_z
Sr1 Sr 0.646 0.646 0.646
Sr2 Sr 0.354 0.354 0.354
Mg1 Mg 0.409 0.409 0.814
Mg2 Mg 0.924 0.924 0.357
Mg3 Mg 0.357 0.924 0.924
Mg4 Mg 0.814 0.409 0.409
Mg5 Mg 0.924 0.357 0.924
Mg6 Mg 0.409 0.814 0.409
Mg7 Mg 0.591 0.591 0.186
Mg8 Mg 0.076 0.076 0.643
Mg9 Mg 0.643 0.076 0.076
Mg10 Mg 0.186 0.591 0.591
Mg11 Mg 0.076 0.643 0.076
Mg12 Mg 0.591 0.186 0.591
Zn1 Zn 0.500 0.000 0.000
Zn2 Zn 0.000 0.500 0.000
Zn3 Zn 0.000 0.000 0.500
Ag1 Ag 0.000 0.000 0.000
```

As for the crystal system: trigonal. The space-group type is R-3m, No. 166. Its formation energy is 1.84 eV per formula unit. The calculation puts the density of states at the Fermi level at 10.08 states/eV per cell. The value obtained for the magnetic moment is 0.0000 μB/atom. The value obtained for the density is 2.642 Mg/m³.



# 2
A relaxed structure of Tb5NdTm. Source: the Alexandria database, functional PBE.

Cell and atoms, written as CIF:
```
data_Tb5NdTm
_symmetry_space_group_name_H-M 'P 1'
_symmetry_Int_Tables_number 1
_symmetry_space_group_name_Hall 'P 1'
_cell_length_a 5.780
_cell_length_b 7.917
_cell_length_c 7.917
_cell_angle_alpha 66.07
_cell_angle_beta 68.59
_cell_angle_gamma 68.59
loop_
_atom_site_label
_atom_site_type_symbol
_atom_site_fract_x
_atom_site_fract_y
_atom_site_fract_z
Tb1 Tb 0.500 0.177 0.823
Tb2 Tb 0.500 0.823 0.177
Tb3 Tb 0.746 0.254 0.254
Tb4 Tb 0.254 0.746 0.746
Tb5 Tb 0.000 0.500 0.500
Nd1 Nd 0.500 0.500 0.500
Tm1 Tm 0.000 0.000 0.000
```

As for the crystal system: orthorhombic. The space-group type is Immm, No. 71. For the distance to the lowest polymorph of the same formula, the calculation gives 0.8802 eV/atom. Its formation energy is 7.47 eV per formula unit. The calculation puts the density of states at the Fermi level at 8.63 states/eV per cell. The value obtained for the magnetic moment is 0.0000 μB/atom. The value obtained for the density is 6.172 Mg/m³.



Copy entry 1 word for word.
A relaxed structure of Sr2Mg12Zn3Ag. Source: the Alexandria database, functional PBE.

Cell and atoms, written as CIF:
```
data_Sr2Mg12Zn3Ag
_symmetry_space_group_name_H-M 'P 1'
_symmetry_Int_Tables_number 1
_symmetry_space_group_name_Hall 'P 1'
_cell_length_a 11.077
_cell_length_b 11.077
_cell_length_c 11.077
_cell_angle_alpha 39.03
_cell_angle_beta 39.03
_cell_angle_gamma 39.03
loop_
_atom_site_label
_atom_site_type_symbol
_atom_site_fract_x
_atom_site_fract_y
_atom_site_fract_z
Sr1 Sr 0.646 0.646 0.646
Sr2 Sr 0.354 0.354 0.354
Mg1 Mg 0.409 0.409 0.814
Mg2 Mg 0.924 0.924 0.357
Mg3 Mg 0.357 0.924 0.924
Mg4 Mg 0.814 0.409 0.409
Mg5 Mg 0.924 0.357 0.924
Mg6 Mg 0.409 0.814 0.409
Mg7 Mg 0.591 0.591 0.186
Mg8 Mg 0.076 0.076 0.643
Mg9 Mg 0.643 0.076 0.076
Mg10 Mg 0.186 0.591 0.591
Mg11 Mg 0.076 0.643 0.076
Mg12 Mg 0.591 0.186 0.591
Zn1 Zn 0.500 0.000 0.000
Zn2 Zn 0.000 0.500 0.000
Zn3 Zn 0.000 0.000 0.500
Ag1 Ag 0.000 0.000 0.000
```

As for the crystal system: trigonal. The space-group type is R-3m, No. 166. Its formation energy is 1.84 eV per formula unit. The calculation puts the density of states at the Fermi level at 10.08 states/eV per cell. The value obtained for the magnetic moment is 0.0000 μB/atom. The value obtained for the density is 2.642 Mg/m³.